No. 1
A plane-wave DFT calculation with PBE was carried out for crystalline PuTh4Te5 at its relaxed geometry.

Formation energy without anion corrections   -1.0714 eV per atom
Total magnetization   6.38 Bohr magnetons per cell

Lattice parameters (Å, degrees): 3.8510 3.8510 19.1784 90.00 90.00 90.00
Positions (direct):
Th  0.0000  0.0000  0.6005
Th  0.0000  0.0000  0.8025
Th  0.0000  0.0000  0.1975
Th  0.0000  0.0000  0.3995
Te  0.5000  0.5000  0.2992
Te  0.5000  0.5000  0.5000
Te  0.5000  0.5000  0.8996
Te  0.5000  0.5000  0.7008
Te  0.5000  0.5000  0.1004
Pu  0.0000  0.0000  0.0000


No. 2
A plane-wave DFT calculation with PBE was carried out for crystalline PuTh2Te3 at its relaxed geometry.

Formation energy without anion corrections   -1.0443 eV per atom
Relative energy among the computed polymorphs   0 meV/atom
Total magnetization   5.80 Bohr magnetons per cell

Lattice parameters (Å, degrees): 4.4543 4.4543 9.9688 102.91 102.91 90.00
Positions (direct):
Pu  0.0000  0.0000  0.0000
Te  0.8370  0.8370  0.6740
Te  0.5000  0.5000  0.0000
Te  0.1630  0.1630  0.3260
Th  0.3298  0.3298  0.6596
Th  0.6702  0.6702  0.3404


No. 3
A plane-wave DFT calculation with PBE was carried out for crystalline Pu2Th2Te7 at its relaxed geometry.

Formation energy without anion corrections   -0.9466 eV per atom
Total magnetization   10.02 Bohr magnetons per cell

Lattice parameters (Å, degrees): 5.3130 5.3130 14.7890 90.00 90.00 90.00
Positions (direct):
Pu  0.0000  0.5000  0.1322
Pu  0.5000  0.0000  0.8678
Th  0.5000  0.0000  0.3723
Th  0.0000  0.5000  0.6277
Te  0.5000  0.5000  0.0000
Te  0.5000  0.5000  0.7479
Te  0.5000  0.5000  0.2521
Te  0.0000  0.0000  0.7625
Te  0.5000  0.5000  0.5000
Te  0.0000  0.0000  0.5000
Te  0.0000  0.0000  0.2375


No. 4
A plane-wave DFT calculation with PBE was carried out for crystalline PuThTe3 at its relaxed geometry.

Formation energy without anion corrections   -1.0406 eV per atom
Total magnetization   12.00 Bohr magnetons per cell

Lattice parameters (Å, degrees): 4.5116 7.7921 11.3080 90.00 101.51 90.00
Positions (direct):
Th  0.3409  0.4954  0.6819
Th  0.6591  0.9954  0.3181
Te  0.5868  0.3261  0.1737
Te  0.0857  0.8258  0.1715
Te  0.9143  0.3258  0.8285
Te  0.2505  0.1573  0.5010
Te  0.4132  0.8261  0.8263
Te  0.7495  0.6573  0.4990
Pu  0.1626  0.4894  0.3253
Pu  0.8374  0.9894  0.6747


Question: The lowest total magnetization belongs to which entry?
Answer: PuTh2Te3